{
  "formula": "Ca6ZnCd2",
  "functional": "PBE-GGA",
  "state": "relaxed",
  "delta_e_f_ev_per_atom": -0.22,
  "dos_at_fermi_per_ev_cell": 10.06,
  "polymorph_energy_mev_per_atom": 0,
  "cell": [[5.357, 0.000, 0.225], [0.000, 10.287, 0.000], [-0.431, 0.000, 10.282]],
  "species": ["Ca", "Ca", "Ca", "Ca", "Ca", "Ca", "Ca", "Ca", "Ca", "Ca", "Ca", "Ca", "Cd", "Cd", "Cd", "Cd", "Zn", "Zn"],
  "frac_coords": [[0.500, 0.195, 0.968], [0.500, 0.882, 0.382], [0.000, 0.695, 0.531], [0.000, 0.305, 0.469], [0.000, 0.382, 0.118], [0.500, 0.531, 0.305], [0.000, 0.031, 0.195], [0.500, 0.805, 0.032], [0.500, 0.469, 0.695], [0.000, 0.969, 0.805], [0.000, 0.618, 0.882], [0.500, 0.118, 0.618], [0.500, 0.794, 0.707], [0.000, 0.706, 0.207], [0.000, 0.294, 0.793], [0.500, 0.206, 0.293], [0.500, 0.500, 0.000], [0.000, 0.000, 0.500]]
}

{
  "formula": "Ca4ZnCd3",
  "functional": "PBE-GGA",
  "state": "relaxed",
  "delta_e_f_ev_per_atom": -0.32,
  "dos_at_fermi_per_ev_cell": 6.43,
  "cell": [[-3.857, -2.991, -2.279], [0.911, -5.196, -1.088], [-3.979, -4.918, 6.822]],
  "species": ["Ca", "Ca", "Ca", "Ca", "Zn", "Cd", "Cd", "Cd"],
  "frac_coords": [[0.877, 0.877, 0.368], [0.123, 0.123, 0.632], [0.627, 0.627, 0.119], [0.373, 0.373, 0.881], [0.000, 0.000, 0.000], [0.751, 0.751, 0.746], [0.500, 0.500, 0.500], [0.249, 0.249, 0.254]]
}

{
  "formula": "Ca8ZnCd2",
  "functional": "PBE-GGA",
  "state": "relaxed",
  "delta_e_f_ev_per_atom": -0.11,
  "dos_at_fermi_per_ev_cell": 8.14,
  "cell": [[5.085, 0.000, -1.548], [-1.374, 7.947, -4.514], [0.012, -0.165, 9.168]],
  "species": ["Ca", "Ca", "Ca", "Ca", "Ca", "Ca", "Ca", "Ca", "Zn", "Cd", "Cd"],
  "frac_coords": [[0.340, 0.122, 0.680], [0.340, 0.558, 0.680], [0.660, 0.878, 0.320], [0.000, 0.680, 0.000], [0.132, 0.132, 0.263], [0.660, 0.442, 0.320], [0.000, 0.320, 0.000], [0.868, 0.868, 0.737], [0.500, 0.000, 0.000], [0.198, 0.698, 0.396], [0.802, 0.302, 0.604]]
}

{
  "formula": "CaZn2Cd4",
  "functional": "PBE-GGA",
  "state": "relaxed",
  "delta_e_f_ev_per_atom": 0.39,
  "dos_at_fermi_per_ev_cell": 3.60,
  "polymorph_energy_mev_per_atom": 550,
  "cell": [[5.857, 0.000, 0.000], [0.000, 5.857, 0.000], [2.928, 2.928, 7.091]],
  "species": ["Cd", "Cd", "Cd", "Cd", "Zn", "Zn", "Ca"],
  "frac_coords": [[0.224, 0.224, 0.553], [0.000, 0.500, 0.000], [0.776, 0.776, 0.447], [0.500, 0.000, 0.000], [0.413, 0.413, 0.174], [0.587, 0.587, 0.826], [0.000, 0.000, 0.000]]
}

{
  "formula": "CaZn3Cd",
  "functional": "PBE-GGA",
  "state": "relaxed",
  "delta_e_f_ev_per_atom": -0.21,
  "dos_at_fermi_per_ev_cell": 9.88,
  "polymorph_energy_mev_per_atom": 0,
  "cell": [[-0.099, -5.409, 3.028], [-2.605, -2.721, -4.947], [9.800, -2.419, -4.000]],
  "species": ["Zn", "Zn", "Zn", "Zn", "Zn", "Zn", "Zn", "Zn", "Zn", "Zn", "Zn", "Zn", "Ca", "Ca", "Ca", "Ca", "Cd", "Cd", "Cd", "Cd"],
  "frac_coords": [[0.000, 0.716, 0.872], [0.774, 0.500, 0.500], [0.726, 0.500, 0.000], [0.500, 0.732, 0.146], [0.226, 0.500, 0.500], [0.500, 0.716, 0.372], [0.500, 0.284, 0.628], [0.500, 0.268, 0.854], [0.000, 0.284, 0.128], [0.000, 0.732, 0.646], [0.274, 0.500, 0.000], [0.000, 0.268, 0.354], [0.000, 0.248, 0.752], [0.000, 0.752, 0.248], [0.500, 0.752, 0.748], [0.500, 0.248, 0.252], [0.247, 0.000, 0.500], [0.753, 0.000, 0.500], [0.253, 0.000, 0.000], [0.747, 0.000, 0.000]]
}

{
  "formula": "CaZn5Cd7",
  "functional": "PBE-GGA",
  "state": "relaxed",
  "delta_e_f_ev_per_atom": -0.09,
  "dos_at_fermi_per_ev_cell": 3.61,
  "cell": [[5.571, 0.000, 0.000], [2.785, 6.835, 0.051], [2.785, 0.029, 6.835]],
  "species": ["Zn", "Zn", "Zn", "Zn", "Zn", "Cd", "Cd", "Cd", "Cd", "Cd", "Cd", "Cd", "Ca"],
  "frac_coords": [[0.998, 0.992, 0.511], [0.499, 0.992, 0.511], [0.499, 0.511, 0.992], [0.998, 0.511, 0.992], [0.723, 0.777, 0.777], [0.501, 0.793, 0.206], [0.501, 0.206, 0.793], [0.998, 0.348, 0.656], [0.655, 0.345, 0.345], [0.347, 0.653, 0.653], [0.998, 0.656, 0.348], [0.278, 0.222, 0.222], [0.005, 0.995, 0.995]]
}

{
  "formula": "Ca4ZnCd",
  "functional": "PBE-GGA",
  "state": "relaxed",
  "delta_e_f_ev_per_atom": -0.21,
  "dos_at_fermi_per_ev_cell": 5.19,
  "polymorph_energy_mev_per_atom": 0,
  "cell": [[3.780, -0.001, 0.000], [0.001, 3.780, 0.000], [-0.001, -0.001, 13.215]],
  "species": ["Cd", "Zn", "Ca", "Ca", "Ca", "Ca"],
  "frac_coords": [[0.500, 0.500, 0.500], [0.000, 0.000, 0.000], [0.000, 0.000, 0.354], [0.500, 0.500, 0.866], [0.500, 0.500, 0.134], [0.000, 0.000, 0.646]]
}

{
  "formula": "Ca3ZnCd2",
  "functional": "PBE-GGA",
  "state": "relaxed",
  "delta_e_f_ev_per_atom": -0.31,
  "dos_at_fermi_per_ev_cell": 5.19,
  "cell": [[3.791, 0.000, 0.000], [0.000, 3.791, 0.000], [0.000, 0.000, 11.318]],
  "species": ["Cd", "Cd", "Ca", "Ca", "Ca", "Zn"],
  "frac_coords": [[0.500, 0.500, 0.829], [0.500, 0.500, 0.171], [0.000, 0.000, 0.657], [0.000, 0.000, 0.000], [0.000, 0.000, 0.343], [0.500, 0.500, 0.500]]
}

{
  "formula": "Ca2Zn5Cd5",
  "functional": "PBE-GGA",
  "state": "relaxed",
  "delta_e_f_ev_per_atom": -0.15,
  "dos_at_fermi_per_ev_cell": 5.46,
  "cell": [[-3.414, -1.745, 2.684], [-0.640, -4.159, -3.517], [6.728, -5.339, 5.088]],
  "species": ["Ca", "Ca", "Zn", "Zn", "Zn", "Zn", "Zn", "Cd", "Cd", "Cd", "Cd", "Cd"],
  "frac_coords": [[0.000, 0.500, 0.000], [0.000, 0.000, 0.500], [0.500, 0.759, 0.730], [0.500, 0.241, 0.730], [0.500, 0.500, 0.500], [0.500, 0.759, 0.270], [0.500, 0.241, 0.270], [0.000, 0.000, 0.177], [0.000, 0.500, 0.333], [0.000, 0.500, 0.667], [0.500, 0.000, 0.000], [0.000, 0.000, 0.823]]
}

{
  "formula": "Ca2ZnCd",
  "functional": "PBE-GGA",
  "state": "relaxed",
  "delta_e_f_ev_per_atom": -0.22,
  "dos_at_fermi_per_ev_cell": 2.36,
  "cell": [[6.155, -0.027, 0.055], [5.065, 3.497, 0.055], [1.892, 0.585, 5.008]],
  "species": ["Cd", "Ca", "Ca", "Zn"],
  "frac_coords": [[0.533, 0.533, 0.492], [0.767, 0.767, 0.716], [0.971, 0.971, 0.049], [0.228, 0.228, 0.243]]
}

{
  "formula": "Ca2ZnCd",
  "functional": "PBE-GGA",
  "state": "relaxed",
  "delta_e_f_ev_per_atom": -0.13,
  "dos_at_fermi_per_ev_cell": 1.12,
  "cell": [[5.160, 0.000, 0.000], [2.580, 4.468, 0.000], [2.580, 1.489, 4.213]],
  "species": ["Zn", "Ca", "Ca", "Cd"],
  "frac_coords": [[0.750, 0.750, 0.750], [0.000, 0.000, 0.000], [0.250, 0.250, 0.250], [0.500, 0.500, 0.500]]
}

{
  "formula": "CaZn2Cd",
  "functional": "PBE-GGA",
  "state": "relaxed",
  "delta_e_f_ev_per_atom": 0.00,
  "dos_at_fermi_per_ev_cell": 4.89,
  "cell": [[-1.345, -0.723, 4.422], [4.030, -2.212, 0.864], [5.298, 6.732, 5.187]],
  "species": ["Cd", "Cd", "Ca", "Ca", "Zn", "Zn", "Zn", "Zn"],
  "frac_coords": [[0.750, 0.250, 0.500], [0.000, 0.000, 0.000], [0.500, 0.500, 0.000], [0.250, 0.750, 0.500], [0.375, 0.233, 0.750], [0.983, 0.625, 0.250], [0.767, 0.125, 0.250], [0.875, 0.017, 0.750]]
}